Record 1
First-principles (PBE-GGA) data for a relaxed structure of KNaBi2Cl8, as listed in Alexandria via LeMat-Bulk.

Output
**Magnetic moment**: 0.0 μB/f.u.
**Crystal system**: monoclinic
**Formation energy from raw total energies**: -1.279 eV/atom

Cell: 6.710 8.507 6.954 Å, 90.00 94.94 90.00°
Space group P2/m (No. 10)
Unique sites:
1 K 0.000 0.000 0.000 x1
2 Na 0.000 0.500 0.000 x1
3 Bi 0.500 0.255 0.500 x2
4 Cl 0.247 0.270 0.180 x4
5 Cl 0.285 0.500 0.650 x2
6 Cl 0.291 0.000 0.642 x2

Record 2
First-principles (PBE-GGA) data for a relaxed structure of Tm5Tl2Ge2, as listed in Alexandria via LeMat-Bulk.

Output
**Magnetic moment**: 0.0 μB/f.u.
**Crystal system**: orthorhombic
**Formation energy from the elements**: -573 meV per atom

Cell: 15.497 7.733 7.696 Å, 90.00 90.00 90.00°
Space group Cmce (No. 64)
Unique sites:
1 Tm 0.000 0.000 0.000 x4
2 Tm 0.125 0.171 0.332 x16
3 Tl 0.215 0.000 0.000 x8
4 Ge 0.000 0.137 0.639 x8

Record 3
First-principles (PBE-GGA) data for a relaxed structure of Nb2BPt, as listed in Alexandria via LeMat-Bulk.

Output
**Magnetic moment**: 0.0 μB/f.u.
**Crystal system**: tetragonal
**Formation energy from the elements**: 4 meV per atom

Cell: 6.746 6.746 5.442 Å, 90.00 90.00 90.00°
Space group I-42d (No. 122)
Unique sites:
1 Nb 0.200 0.750 0.125 x8
2 B 0.000 0.000 0.000 x4
3 Pt 0.000 0.000 0.500 x4

Look up the magnetic moment of the second one. 0.0 μB/f.u.

Copy entry 2 word for word.
First-principles (PBE-GGA) data for a relaxed structure of Tm5Tl2Ge2, as listed in Alexandria via LeMat-Bulk.

Output
**Magnetic moment**: 0.0 μB/f.u.
**Crystal system**: orthorhombic
**Formation energy from the elements**: -573 meV per atom

Cell: 15.497 7.733 7.696 Å, 90.00 90.00 90.00°
Space group Cmce (No. 64)
Unique sites:
1 Tm 0.000 0.000 0.000 x4
2 Tm 0.125 0.171 0.332 x16
3 Tl 0.215 0.000 0.000 x8
4 Ge 0.000 0.137 0.639 x8